# 1
## YMg5Sc4 (PBE)

Data for a relaxed YMg5Sc4 crystal.

Results
Total energy, eV per atom: -4.03
V, Å³ per cell: 241
DOS at the Fermi energy, states/eV per cell: 14.18
ΔE_f, kJ/mol of atoms: -4.9

Geometry as CIF:
```
data_YMg5Sc4
_symmetry_space_group_name_H-M 'P 4/m m m'
_symmetry_Int_Tables_number 123
_symmetry_space_group_name_Hall '-P 4 2'
_cell_length_a 3.628
_cell_length_b 3.628
_cell_length_c 18.298
_cell_angle_alpha 90.00
_cell_angle_beta 90.00
_cell_angle_gamma 90.00
loop_
_atom_site_label
_atom_site_type_symbol
_atom_site_fract_x
_atom_site_fract_y
_atom_site_fract_z
Y1 Y 0.000 0.000 0.000
Mg1 Mg 0.500 0.500 0.112
Mg2 Mg 0.500 0.500 0.305
Mg3 Mg 0.500 0.500 0.500
Sc1 Sc 0.000 0.000 0.208
Sc2 Sc 0.000 0.000 0.403
```

---

# 2
## Y2MgSc (PBE)

Data for a relaxed Y2MgSc crystal.

Results
Total energy, eV per atom: -5.17
V, Å³ per cell: 342
DOS at the Fermi energy, states/eV per cell: 17.12
ΔE_f, kJ/mol of atoms: 3.9

Geometry as CIF:
```
data_Y2MgSc
_symmetry_space_group_name_H-M 'R -3 m'
_symmetry_Int_Tables_number 166
_symmetry_space_group_name_Hall '-R 3 2"'
_cell_length_a 3.4444
_cell_length_b 3.4444
_cell_length_c 33.3078
_cell_angle_alpha 90.00
_cell_angle_beta 90.00
_cell_angle_gamma 120.00
loop_
_atom_site_label
_atom_site_type_symbol
_atom_site_fract_x
_atom_site_fract_y
_atom_site_fract_z
Y1 Y 0.0000 0.0000 0.2490
Mg1 Mg 0.0000 0.0000 0.0000
Sc1 Sc 0.0000 0.0000 0.5000
```

---

# 3
## Y2MgSc2 (PBE)

Data for a relaxed Y2MgSc2 crystal.

Results
ΔE to the lowest computed polymorph, eV/atom: 0.064
Total energy, eV per atom: -5.21
V, Å³ per cell: 280
DOS at the Fermi energy, states/eV per cell: 52.62
ΔE_f, kJ/mol of atoms: 21.9

Geometry as CIF:
```
data_Y2MgSc2
_symmetry_space_group_name_H-M 'P 4/m b m'
_symmetry_Int_Tables_number 127
_symmetry_space_group_name_Hall '-P 4 2ab'
_cell_length_a 8.819
_cell_length_b 8.819
_cell_length_c 3.605
_cell_angle_alpha 90.00
_cell_angle_beta 90.00
_cell_angle_gamma 90.00
loop_
_atom_site_label
_atom_site_type_symbol
_atom_site_fract_x
_atom_site_fract_y
_atom_site_fract_z
Y1 Y 0.133 0.367 0.000
Mg1 Mg 0.000 0.000 0.000
Sc1 Sc 0.167 0.667 0.500
```

---

# 4
## YMg4Sc5 (PBE)

Data for a relaxed YMg4Sc5 crystal.

Results
Total energy, eV per atom: -4.47
V, Å³ per cell: 243
DOS at the Fermi energy, states/eV per cell: 14.73
ΔE_f, kJ/mol of atoms: -1.9

Geometry as CIF:
```
data_YMg4Sc5
_symmetry_space_group_name_H-M 'P 4/m m m'
_symmetry_Int_Tables_number 123
_symmetry_space_group_name_Hall '-P 4 2'
_cell_length_a 3.551
_cell_length_b 3.551
_cell_length_c 19.293
_cell_angle_alpha 90.00
_cell_angle_beta 90.00
_cell_angle_gamma 90.00
loop_
_atom_site_label
_atom_site_type_symbol
_atom_site_fract_x
_atom_site_fract_y
_atom_site_fract_z
Y1 Y 0.000 0.000 0.000
Mg1 Mg 0.000 0.000 0.215
Mg2 Mg 0.000 0.000 0.405
Sc1 Sc 0.500 0.500 0.120
Sc2 Sc 0.500 0.500 0.310
Sc3 Sc 0.500 0.500 0.500
```

---

# 5
## Y2MgSc (PBE)

Data for a relaxed Y2MgSc crystal.

Results
Total energy, eV per atom: -5.20
V, Å³ per cell: 224
DOS at the Fermi energy, states/eV per cell: 11.10
ΔE_f, kJ/mol of atoms: 1.1

Geometry as CIF:
```
data_Y2MgSc
_symmetry_space_group_name_H-M 'C m m m'
_symmetry_Int_Tables_number 65
_symmetry_space_group_name_Hall '-C 2 2'
_cell_length_a 7.163
_cell_length_b 8.471
_cell_length_c 3.700
_cell_angle_alpha 90.00
_cell_angle_beta 90.00
_cell_angle_gamma 90.00
loop_
_atom_site_label
_atom_site_type_symbol
_atom_site_fract_x
_atom_site_fract_y
_atom_site_fract_z
Y1 Y 0.250 0.250 0.000
Mg1 Mg 0.000 0.000 0.500
Sc1 Sc 0.000 0.500 0.500
```

---

# 6
## YMgSc2 (PBE)

Data for a relaxed YMgSc2 crystal.

Results
Total energy, eV per atom: -5.16
V, Å³ per cell: 207
DOS at the Fermi energy, states/eV per cell: 9.84
ΔE_f, kJ/mol of atoms: 2.2

Geometry as CIF:
```
data_YMgSc2
_symmetry_space_group_name_H-M 'I m m 2'
_symmetry_Int_Tables_number 44
_symmetry_space_group_name_Hall 'I 2 -2'
_cell_length_a 3.728
_cell_length_b 5.153
_cell_length_c 10.781
_cell_angle_alpha 90.00
_cell_angle_beta 90.00
_cell_angle_gamma 90.00
loop_
_atom_site_label
_atom_site_type_symbol
_atom_site_fract_x
_atom_site_fract_y
_atom_site_fract_z
Y1 Y 0.000 0.000 0.000
Mg1 Mg 0.000 0.500 0.740
Sc1 Sc 0.000 0.000 0.463
Sc2 Sc 0.000 0.500 0.225
```

---

# 7
## YMg2Sc2 (PBE)

Data for a relaxed YMg2Sc2 crystal.

Results
ΔE to the lowest computed polymorph, eV/atom: 0.105
Total energy, eV per atom: -4.40
V, Å³ per cell: 258
DOS at the Fermi energy, states/eV per cell: 11.68
ΔE_f, kJ/mol of atoms: 6.2

Geometry as CIF:
```
data_YMg2Sc2
_symmetry_space_group_name_H-M 'P 4/m b m'
_symmetry_Int_Tables_number 127
_symmetry_space_group_name_Hall '-P 4 2ab'
_cell_length_a 8.674
_cell_length_b 8.674
_cell_length_c 3.434
_cell_angle_alpha 90.00
_cell_angle_beta 90.00
_cell_angle_gamma 90.00
loop_
_atom_site_label
_atom_site_type_symbol
_atom_site_fract_x
_atom_site_fract_y
_atom_site_fract_z
Y1 Y 0.000 0.000 0.000
Mg1 Mg 0.127 0.373 0.000
Sc1 Sc 0.171 0.671 0.500
```

---

# 8
## YMgSc2 (PBE)

Data for a relaxed YMgSc2 crystal.

Results
Total energy, eV per atom: -4.84
V, Å³ per cell: 427
DOS at the Fermi energy, states/eV per cell: 13.82
ΔE_f, kJ/mol of atoms: 33.1

Geometry as CIF:
```
data_YMgSc2
_symmetry_space_group_name_H-M 'I -4 2 d'
_symmetry_Int_Tables_number 122
_symmetry_space_group_name_Hall 'I -4 2bw'
_cell_length_a 8.227
_cell_length_b 8.227
_cell_length_c 6.313
_cell_angle_alpha 90.00
_cell_angle_beta 90.00
_cell_angle_gamma 90.00
loop_
_atom_site_label
_atom_site_type_symbol
_atom_site_fract_x
_atom_site_fract_y
_atom_site_fract_z
Y1 Y 0.000 0.000 0.000
Mg1 Mg 0.000 0.000 0.500
Sc1 Sc 0.224 0.750 0.625
```

---

# 9
## Y3MgSc (PBE)

Data for a relaxed Y3MgSc crystal.

Results
ΔE to the lowest computed polymorph, eV/atom: 0.000
Total energy, eV per atom: -5.46
V, Å³ per cell: 582
DOS at the Fermi energy, states/eV per cell: 28.77
ΔE_f, kJ/mol of atoms: 0.4

Geometry as CIF:
```
data_Y3MgSc
_symmetry_space_group_name_H-M 'C 1 2/m 1'
_symmetry_Int_Tables_number 12
_symmetry_space_group_name_Hall '-C 2y'
_cell_length_a 12.711
_cell_length_b 3.480
_cell_length_c 14.056
_cell_angle_alpha 90.00
_cell_angle_beta 110.50
_cell_angle_gamma 90.00
loop_
_atom_site_label
_atom_site_type_symbol
_atom_site_fract_x
_atom_site_fract_y
_atom_site_fract_z
Y1 Y 0.011 0.000 0.385
Y2 Y 0.109 0.500 0.204
Y3 Y 0.120 0.000 0.978
Mg1 Mg 0.171 0.500 0.798
Sc1 Sc 0.210 0.500 0.579
```

---

# 10
## Y14MgSc (PBE)

Data for a relaxed Y14MgSc crystal.

Results
Total energy, eV per atom: -6.11
V, Å³ per cell: 1007
DOS at the Fermi energy, states/eV per cell: 55.40
ΔE_f, kJ/mol of atoms: 4.2

Geometry as CIF:
```
data_Y14MgSc
_symmetry_space_group_name_H-M 'A m m 2'
_symmetry_Int_Tables_number 38
_symmetry_space_group_name_Hall 'A 2 -2'
_cell_length_a 10.930
_cell_length_b 8.472
_cell_length_c 10.876
_cell_angle_alpha 90.00
_cell_angle_beta 90.00
_cell_angle_gamma 90.00
loop_
_atom_site_label
_atom_site_type_symbol
_atom_site_fract_x
_atom_site_fract_y
_atom_site_fract_z
Y1 Y 0.000 0.000 0.000
Y2 Y 0.000 0.000 0.444
Y3 Y 0.000 0.202 0.726
Y4 Y 0.231 0.000 0.225
Y5 Y 0.258 0.211 0.506
Y6 Y 0.276 0.000 0.790
Y7 Y 0.500 0.210 0.282
Mg1 Mg 0.500 0.000 0.560
Sc1 Sc 0.500 0.000 0.013
```

---

# 11
## Y3MgSc (PBE)

Data for a relaxed Y3MgSc crystal.

Results
ΔE to the lowest computed polymorph, eV/atom: 0.098
Total energy, eV per atom: -5.36
V, Å³ per cell: 303
DOS at the Fermi energy, states/eV per cell: 16.41
ΔE_f, kJ/mol of atoms: 9.8

Geometry as CIF:
```
data_Y3MgSc
_symmetry_space_group_name_H-M 'P m m n'
_symmetry_Int_Tables_number 59
_cell_length_a 3.676
_cell_length_b 10.327
_cell_length_c 7.992
_cell_angle_alpha 90.00
_cell_angle_beta 90.00
_cell_angle_gamma 90.00
loop_
_symmetry_equiv_pos_as_xyz
'x,y,z'
'-x,-y,-z'
'-x+1/2,-y+1/2,z'
'x+1/2,y+1/2,-z'
'x+1/2,-y,-z'
'-x+1/2,y,z'
'-x,y+1/2,-z'
'x,-y+1/2,z'
loop_
_atom_site_label
_atom_site_type_symbol
_atom_site_fract_x
_atom_site_fract_y
_atom_site_fract_z
Y1 Y 0.250 0.007 0.215
Y2 Y 0.250 0.750 0.554
Mg1 Mg 0.250 0.250 0.769
Sc1 Sc 0.250 0.750 0.940
```

---

# 12
## Y2MgSc (PBE)

Data for a relaxed Y2MgSc crystal.

Results
Total energy, eV per atom: -5.16
V, Å³ per cell: 224
DOS at the Fermi energy, states/eV per cell: 13.98
ΔE_f, kJ/mol of atoms: 5.6

Geometry as CIF:
```
data_Y2MgSc
_symmetry_space_group_name_H-M 'I -4 m 2'
_symmetry_Int_Tables_number 119
_symmetry_space_group_name_Hall 'I -4 -2'
_cell_length_a 4.806
_cell_length_b 4.806
_cell_length_c 9.680
_cell_angle_alpha 90.00
_cell_angle_beta 90.00
_cell_angle_gamma 90.00
loop_
_atom_site_label
_atom_site_type_symbol
_atom_site_fract_x
_atom_site_fract_y
_atom_site_fract_z
Y1 Y 0.000 0.000 0.000
Y2 Y 0.000 0.500 0.250
Mg1 Mg 0.000 0.500 0.750
Sc1 Sc 0.000 0.000 0.500
```

---

Repeat the ninth record exactly.
## Y3MgSc (PBE)

Data for a relaxed Y3MgSc crystal.

Results
ΔE to the lowest computed polymorph, eV/atom: 0.000
Total energy, eV per atom: -5.46
V, Å³ per cell: 582
DOS at the Fermi energy, states/eV per cell: 28.77
ΔE_f, kJ/mol of atoms: 0.4

Geometry as CIF:
```
data_Y3MgSc
_symmetry_space_group_name_H-M 'C 1 2/m 1'
_symmetry_Int_Tables_number 12
_symmetry_space_group_name_Hall '-C 2y'
_cell_length_a 12.711
_cell_length_b 3.480
_cell_length_c 14.056
_cell_angle_alpha 90.00
_cell_angle_beta 110.50
_cell_angle_gamma 90.00
loop_
_atom_site_label
_atom_site_type_symbol
_atom_site_fract_x
_atom_site_fract_y
_atom_site_fract_z
Y1 Y 0.011 0.000 0.385
Y2 Y 0.109 0.500 0.204
Y3 Y 0.120 0.000 0.978
Mg1 Mg 0.171 0.500 0.798
Sc1 Sc 0.210 0.500 0.579
```

---

Which of these has the highest DOS at the Fermi energy? Y14MgSc

---

total energy of number 6 (YMgSc2)? -5.16 eV per atom

---

Which of these has the highest total energy? YMg5Sc4